Computed, not measured: an optimized crystal structure of NaTiPO5 at the GGA-PBE level of DFT.

Cell: 6.338 10.702 12.730 Å, 90.00 90.00 90.00°
Atoms (fractional coordinates):
Na1 0.700 0.275 0.842
Na2 0.300 0.775 0.158
Na3 0.200 0.775 0.658
Na4 0.800 0.275 0.342
Na5 0.739 0.073 0.601
Na6 0.261 0.573 0.399
Na7 0.239 0.573 0.899
Na8 0.761 0.073 0.101
Ti1 0.213 0.240 0.729
Ti2 0.787 0.740 0.271
Ti3 0.713 0.740 0.771
Ti4 0.287 0.240 0.229
Ti5 0.977 0.002 0.869
Ti6 0.023 0.502 0.131
Ti7 0.477 0.502 0.631
Ti8 0.523 0.002 0.369
P1 0.155 0.270 0.982
P2 0.845 0.770 0.018
P3 0.655 0.770 0.518
P4 0.345 0.270 0.482
P5 0.973 0.506 0.683
P6 0.027 0.006 0.317
P7 0.473 0.006 0.817
P8 0.527 0.506 0.183
O1 0.295 0.270 0.882
O2 0.705 0.770 0.118
O3 0.795 0.770 0.618
O4 0.205 0.270 0.382
O5 0.003 0.380 0.741
O6 0.997 0.880 0.259
O7 0.503 0.880 0.759
O8 0.497 0.380 0.241
O9 0.006 0.128 0.757
O10 0.994 0.628 0.243
O11 0.506 0.628 0.743
O12 0.494 0.128 0.257
O13 0.302 0.235 0.077
O14 0.698 0.735 0.923
O15 0.802 0.735 0.423
O16 0.198 0.235 0.577
O17 0.947 0.872 0.788
O18 0.053 0.372 0.212
O19 0.447 0.372 0.712
O20 0.553 0.872 0.288
O21 0.944 0.609 0.769
O22 0.056 0.109 0.231
O23 0.444 0.109 0.731
O24 0.556 0.609 0.269
O25 0.067 0.405 0.996
O26 0.933 0.905 0.004
O27 0.567 0.905 0.504
O28 0.433 0.405 0.496
O29 0.781 0.496 0.609
O30 0.219 0.996 0.391
O31 0.281 0.996 0.891
O32 0.719 0.496 0.109
O33 0.166 0.544 0.617
O34 0.834 0.044 0.383
O35 0.666 0.044 0.883
O36 0.334 0.544 0.117
O37 0.971 0.177 0.973
O38 0.029 0.677 0.027
O39 0.471 0.677 0.527
O40 0.529 0.177 0.473

## Properties
N(E_F) ... 0.0 states/eV/f.u.
Space group ... No. 33
Final energy ... -7.488 eV per atom
Calculated volume ... 863.4 Å³/cell
Total moment ... 0.00 μB per cell

Computed, not measured: an optimized crystal structure of NaTiP2O at the GGA-PBE level of DFT.

Cell: 5.034 5.034 3.716 Å, 90.00 90.00 90.00°
Site moments in Bohr magnetons follow the coordinates.
Atoms (fractional coordinates):
P1 0.000 0.500 0.000  0.20
P2 0.500 0.000 0.000  0.20
Na1 0.500 0.500 0.500  0.01
O1 0.000 0.000 0.500  0.11
Ti1 0.000 0.000 0.000  0.05

## Properties
N(E_F) ... 3.9 states/eV/f.u.
Space group ... No. 123
Final energy ... -5.624 eV per atom
Calculated volume ... 94.2 Å³/cell
Total moment ... 1.07 μB per cell